1.
## FeAs2P (SCAN)

Data for FeAs2P at its PBEsol-relaxed geometry.

a = 2.740 Å, b = 2.740 Å, c = 8.151 Å
α = 90.00°, β = 90.00°, γ = 90.05°
Fractional positions:
Fe1 0.500 0.500 0.000
As1 0.000 0.000 0.189
As2 0.000 0.000 0.811
P1 0.500 0.500 0.500

The calculation puts the formation enthalpy at 0 K at 154.6 kJ/mol of formula units. The electronic total energy comes out at -0.61838 Ha/atom. As for the calculated density: 6.42 g/cm³.

---

2.
## FeAs2P (SCAN)

Data for FeAs2P at its PBEsol-relaxed geometry.

a = 2.729 Å, b = 4.691 Å, c = 4.691 Å
α = 90.00°, β = 90.00°, γ = 90.00°
Each line ends with the local moment (μB).
Fractional positions:
As1 0.000 0.000 0.500  -0.06
As2 0.000 0.500 0.000  -0.06
Fe1 0.500 0.500 0.500  2.79
P1 0.500 0.000 0.000  0.01

The calculation puts the formation enthalpy at 0 K at 197.7 kJ/mol of formula units. The electronic total energy comes out at -0.61427 Ha/atom. As for the calculated density: 6.54 g/cm³.